[1]
Ba2ScWO6: relaxed, PBE with a Hubbard U.

The space group is R-3m (No. 166, hexagonal axes) and the conventional cell measures 5.9949, 5.9949 and 29.2001 Å, with angles of 90.00, 90.00 and 120.00 degrees. The inequivalent atoms are Ba at (0.0000, 0.0000, 0.1305), Ba at (0.0000, 0.0000, 0.2805), Sc at (0.0000, 0.0000, 0.4051), W at (0.0000, 0.0000, 0.0000), W at (0.0000, 0.0000, 0.5000), O at (0.0115, 0.5057, 0.7052) and O at (0.0233, 0.5117, 0.1253).

The value obtained for the volume is 15.1 Å³ per atom. The uncorrected energy is -7.517 eV per atom. The value obtained for the density is 6.57 g/cm³. The density of states at the Fermi level comes out at 0.00 states/eV/f.u.

[2]
BaScWO6: relaxed, PBE with a Hubbard U.

The space group is P312 (No. 149) and the conventional cell measures 5.4936, 5.4936 and 5.6345 Å, with angles of 90.00, 90.00 and 120.00 degrees. The inequivalent atoms are Ba at (0.0000, 0.0000, 0.0000), Sc at (0.3333, 0.6667, 0.5000), W at (0.6667, 0.3333, 0.5000) and O at (0.3980, 0.0212, 0.6961).

The value obtained for the volume is 16.4 Å³ per atom. The uncorrected energy is -7.534 eV per atom. The value obtained for the density is 5.21 g/cm³. The density of states at the Fermi level comes out at 6.60 states/eV/f.u.

[3]
BaSc2WO8: relaxed, PBE with a Hubbard U.

The space group is P2/m (No. 10) and the conventional cell measures 4.818, 7.326 and 4.820 Å, with angles of 90.00, 90.16 and 90.00 degrees. The inequivalent atoms are Ba at (0.000, 0.000, 0.000), Sc at (0.500, 0.292, 0.500), W at (0.000, 0.500, 0.000), O at (0.197, 0.308, 0.196), O at (0.292, 0.500, 0.708) and O at (0.389, 0.000, 0.609).

The value obtained for the volume is 14.2 Å³ per atom. The uncorrected energy is -7.684 eV per atom. The value obtained for the density is 5.26 g/cm³. The density of states at the Fermi level comes out at 0.00 states/eV/f.u.

[4]
BaScW2O8: relaxed, PBE with a Hubbard U.

The space group is P-3m1 (No. 164) and the conventional cell measures 5.9196, 5.9196 and 7.3044 Å, with angles of 90.00, 90.00 and 120.00 degrees. The inequivalent atoms are Ba at (0.0000, 0.0000, 0.0000), Sc at (0.0000, 0.0000, 0.5000), W at (0.3333, 0.6667, 0.7558), O at (0.1612, 0.3225, 0.6803) and O at (0.3333, 0.6667, 0.0038).

The value obtained for the volume is 18.5 Å³ per atom. The uncorrected energy is -7.572 eV per atom. The value obtained for the density is 5.08 g/cm³. The density of states at the Fermi level comes out at 4.30 states/eV/f.u.